# 1
The following is a DFT calculation (PBE) of crystalline Tb2Nd2SmMg at its relaxed geometry.

Structure (POSCAR):
```
Tb2Nd2SmMg
1.0
6.813 0.000 0.000
0.000 6.850 0.000
-3.407 -3.425 8.557
Sm Nd Tb Mg
2 4 4 2
Cartesian
0.000 1.712 0.000
0.000 5.137 0.000
1.622 0.000 6.020
-1.622 3.425 6.020
1.785 3.425 2.537
5.029 0.000 2.537
1.752 3.425 5.990
-1.752 0.000 5.990
5.159 3.425 2.568
1.655 0.000 2.568
3.407 5.137 0.000
3.407 1.712 0.000
```

Summary:
Space group: Ibam
E_tot, hartree per atom: -0.1450

=====

# 2
The following is a DFT calculation (PBE) of crystalline Tb2NdSm4Mg at its relaxed geometry.

Structure (POSCAR):
```
Tb2NdSm4Mg
1.0
5.841 0.000 0.000
0.000 9.550 -0.434
0.000 3.774 4.456
Mg Sm Tb Nd
1 4 2 1
Cartesian
0.000 6.662 2.011
5.841 3.381 0.965
0.000 9.943 3.057
2.921 8.055 0.832
2.920 5.269 3.190
2.920 1.887 2.228
0.000 3.774 4.456
2.920 4.775 -0.217
```

Summary:
Space group: P4/mmm
E_tot, hartree per atom: -0.1555

=====

# 3
The following is a DFT calculation (PBE) of crystalline Tb2Nd4Sm2Mg at its relaxed geometry.

Structure (POSCAR):
```
Tb2Nd4Sm2Mg
1.0
-0.339 3.728 5.772
4.668 -5.091 5.477
3.464 2.067 -4.276
Nd Mg Sm Tb
4 1 2 2
Cartesian
5.106 0.491 4.955
4.579 -2.181 7.020
2.688 0.212 2.019
3.215 2.884 -0.047
0.000 0.000 0.000
2.511 3.308 4.024
5.282 -2.605 2.950
5.665 0.052 0.243
2.129 0.652 6.730
```

Summary:
Space group: P-1
E_tot, hartree per atom: -0.1589

=====

# 4
The following is a DFT calculation (PBE) of crystalline Tb6Nd3Sm2Mg at its relaxed geometry.

Structure (POSCAR):
```
Tb6Nd3Sm2Mg
1.0
6.201 -0.003 0.011
-3.101 5.370 0.011
-1.057 -1.831 11.672
Tb Nd Sm Mg
6 3 2 1
Cartesian
2.064 3.574 2.908
3.078 1.769 8.808
2.049 -0.014 2.886
-0.006 3.550 8.808
-1.036 1.767 2.886
-0.022 -0.037 8.786
-2.084 3.561 5.847
4.126 -0.025 5.847
1.021 1.768 5.847
0.000 3.578 0.011
3.099 1.789 0.011
0.000 0.000 0.000
```

Summary:
Space group: C2/m
E_tot, hartree per atom: -0.1618

=====

# 5
The following is a DFT calculation (PBE) of crystalline Nd2SmMgTe5 at its relaxed geometry.

Structure (POSCAR):
```
Nd2SmMgTe5
1.0
-4.275 -0.209 -0.934
3.484 -8.315 -3.814
-2.268 -6.366 11.807
Nd Sm Te Mg
4 2 10 2
Cartesian
-1.510 -7.810 -1.616
-1.250 -6.240 7.117
-2.972 -11.379 5.873
-0.326 -4.180 2.425
-2.500 -8.326 3.031
0.528 -3.514 -1.630
-1.947 -4.858 -0.275
-2.227 -11.377 2.466
-0.042 -1.297 0.484
-0.427 -13.282 4.924
-3.553 -8.611 7.918
-0.764 -9.058 5.525
-1.279 -12.537 8.660
0.064 -7.487 1.381
-2.751 -1.943 2.754
-2.911 -5.529 4.287
-4.169 -7.067 10.391
0.171 -10.460 1.558
```

Summary:
Space group: Cmc2_1
Energy relative to the elements, uncorrected, kcal/mol of atoms: -28.79

=====

# 6
The following is a DFT calculation (PBE) of crystalline NdSmThMg at its relaxed geometry.

Structure (POSCAR):
```
NdSmThMg
1.0
-3.415 0.800 -0.969
-1.097 -3.266 1.173
-1.578 3.593 8.526
Th Sm Mg Nd
1 1 1 1
Cartesian
-3.549 1.710 7.084
-0.887 2.019 4.792
-2.768 -0.068 2.865
-0.126 0.286 0.678
```

Summary:
Space group: P4mm
Energy above the lowest structure with this stoichiometry, meV per atom: 0

=====

# 7
The following is a DFT calculation (PBE) of crystalline NdSmThMg at its relaxed geometry.

Structure (POSCAR):
```
NdSmThMg
1.0
-5.148 -2.240 -0.099
-1.834 -2.617 -4.617
-0.635 -5.579 0.000
Sm Th Mg Nd
1 1 1 1
Cartesian
-1.904 -2.609 -1.179
0.000 0.000 0.000
-3.808 -5.218 -2.358
-5.712 -7.827 -3.537
```

Summary:
Space group: F-43m
Energy above the lowest structure with this stoichiometry, meV per atom: 194

=====

# 8
The following is a DFT calculation (PBE) of crystalline Nd4Sm2ThMg at its relaxed geometry.

Structure (POSCAR):
```
Nd4Sm2ThMg
1.0
5.957 0.000 0.000
0.000 9.537 -0.181
0.000 3.805 4.582
Nd Sm Mg Th
4 2 1 1
Cartesian
0.000 9.925 3.368
2.979 5.322 3.323
2.979 8.020 1.078
5.957 3.416 1.032
0.000 3.805 4.582
2.979 1.902 2.291
2.979 4.768 -0.091
0.000 6.671 2.200
```

Summary:
Space group: P4/mmm
E_tot, hartree per atom: -0.1689

=====

# 9
The following is a DFT calculation (PBE) of crystalline NdSmMgTl at its relaxed geometry.

Structure (POSCAR):
```
NdSmMgTl
1.0
-3.953 2.914 2.418
-2.791 -2.130 4.200
0.747 1.958 5.057
Sm Tl Mg Nd
1 1 1 1
Cartesian
-4.497 2.057 8.756
-2.998 1.371 5.838
0.000 0.000 0.000
-1.499 0.686 2.919
```

Summary:
Space group: F-43m
E_tot, hartree per atom: -0.1330

=====

# 10
The following is a DFT calculation (PBE) of crystalline Nd2SmTmMg at its relaxed geometry.

Structure (POSCAR):
```
Nd2SmTmMg
1.0
-0.648 5.904 3.324
-3.038 -3.799 6.155
5.542 -0.692 2.309
Sm Tm Nd Mg
2 2 4 2
Cartesian
3.897 1.849 3.065
0.997 3.364 2.569
2.528 -1.417 5.373
-0.672 2.831 6.415
0.308 0.447 3.350
2.811 2.545 5.881
-0.955 -1.131 5.907
1.548 0.967 8.438
0.000 0.000 0.000
2.771 -0.346 1.154
```

Summary:
Space group: Pmma
E_tot, hartree per atom: -0.1433

=====

# 11
The following is a DFT calculation (PBE) of crystalline NdSmTmMg at its relaxed geometry.

Structure (POSCAR):
```
NdSmTmMg
1.0
3.691 0.000 0.000
0.000 3.691 0.000
0.000 0.000 9.014
Mg Tm Nd Sm
1 1 1 1
Cartesian
1.846 1.846 5.496
1.846 1.846 0.943
0.000 0.000 3.370
0.000 0.000 7.570
```

Summary:
Space group: P4mm
Energy above the lowest structure with this stoichiometry, meV per atom: 0

=====

# 12
The following is a DFT calculation (PBE) of crystalline Nd6SmTm2Mg at its relaxed geometry.

Structure (POSCAR):
```
Nd6SmTm2Mg
1.0
-9.398 -0.094 -1.323
1.682 -7.091 -4.605
-0.174 -2.490 8.251
Nd Sm Mg Tm
12 2 2 4
Cartesian
0.152 -5.875 0.385
-7.020 -3.441 -2.946
-2.906 -4.837 -0.428
-3.116 -1.422 3.224
-0.870 -6.234 5.270
-4.774 -8.253 -0.900
-8.042 -3.801 1.939
-0.700 -2.410 5.668
-4.984 -4.838 2.752
-3.724 -4.162 5.859
-4.166 -5.513 -3.535
-7.190 -7.266 -3.344
-7.104 -2.854 6.438
-0.786 -6.821 -4.115
-1.776 -4.366 2.744
-6.114 -5.309 -0.421
-2.596 -7.541 1.804
-7.425 -7.264 2.048
-0.465 -2.411 0.276
-5.294 -2.134 0.520
```

Summary:
Space group: C2/c
E_tot, hartree per atom: -0.1572

=====

DOS(E_F), respectively: 1.623, 1.748, 1.349, 1.462, 0.228, 0.894, 1.601, 1.504, 1.039, 1.094, 1.294, 1.339 states/eV per atom.